[1]
Density functional theory data (PBE) for a relaxed structure of NaPbCl2.

D(E_F)   1.5 states/eV/f.u.
SG   No. 166
V   30.72 Å³/atom
Raw total energy   -3.0352 eV per atom
Raw formation energy   -19.7 kcal/mol of atoms
ΔE to the lowest computed polymorph   0.49 eV/f.u.

a b c (Å): 9.9007 9.9007 9.9007
angles (deg): 22.33 22.33 22.33
Fractional coordinates of all 4 atoms:
Na  0.0000  0.0000  0.0000
Pb  0.5000  0.5000  0.5000
Cl  0.0852  0.0852  0.0852
Cl  0.9148  0.9148  0.9148

[2]
Density functional theory data (PBE) for a relaxed structure of NaPbCl4.

D(E_F)   5.3 states/eV/f.u.
SG   No. 15
V   31.43 Å³/atom
Raw total energy   -3.1716 eV per atom
Raw formation energy   -25.4 kcal/mol of atoms
ΔE to the lowest computed polymorph   0.07 eV/f.u.

a b c (Å): 8.7608 8.7608 12.8039
angles (deg): 123.71 123.71 27.89
Fractional coordinates of all 12 atoms:
Na  0.2490  0.7510  0.7500
Na  0.7510  0.2490  0.2500
Pb  0.0000  0.5000  0.0000
Pb  0.5000  0.0000  0.5000
Cl  0.0521  0.5524  0.6720
Cl  0.1817  0.6797  0.0680
Cl  0.3203  0.8183  0.4320
Cl  0.4476  0.9479  0.8280
Cl  0.5524  0.0521  0.1720
Cl  0.6797  0.1817  0.5680
Cl  0.8183  0.3203  0.9320
Cl  0.9479  0.4476  0.3280

[3]
Density functional theory data (PBE) for a relaxed structure of NaPbCl5.

SG   No. 15
V   32.37 Å³/atom
Raw total energy   -2.9673 eV per atom
Raw formation energy   -21.4 kcal/mol of atoms

a b c (Å): 7.0201 7.0201 9.9794
angles (deg): 104.92 104.92 94.89
Fractional coordinates of all 14 atoms:
Na  0.0614  0.9386  0.7500
Na  0.9386  0.0614  0.2500
Pb  0.0000  0.5000  0.0000
Pb  0.5000  0.0000  0.5000
Cl  0.2134  0.6272  0.8650
Cl  0.2140  0.7860  0.2500
Cl  0.2162  0.2347  0.0353
Cl  0.2347  0.2162  0.5353
Cl  0.3728  0.7866  0.6350
Cl  0.6272  0.2134  0.3650
Cl  0.7653  0.7838  0.4647
Cl  0.7838  0.7653  0.9647
Cl  0.7860  0.2140  0.7500
Cl  0.7866  0.3728  0.1350

[4]
Density functional theory data (PBE) for a relaxed structure of Na2PbCl6.

SG   No. 136
V   28.90 Å³/atom
Raw total energy   -3.0847 eV per atom
Raw formation energy   -26.5 kcal/mol of atoms
ΔE to the lowest computed polymorph   0.19 eV/f.u.

a b c (Å): 6.4927 6.4927 12.3412
angles (deg): 90.00 90.00 90.00
Fractional coordinates of all 18 atoms:
Na  0.0000  0.0000  0.1657
Na  0.0000  0.0000  0.8343
Na  0.5000  0.5000  0.3343
Na  0.5000  0.5000  0.6657
Pb  0.0000  0.0000  0.5000
Pb  0.5000  0.5000  0.0000
Cl  0.1898  0.1898  0.3462
Cl  0.1898  0.1898  0.6538
Cl  0.2178  0.2178  0.0000
Cl  0.2822  0.7178  0.5000
Cl  0.3102  0.6898  0.1538
Cl  0.3102  0.6898  0.8462
Cl  0.6898  0.3102  0.1538
Cl  0.6898  0.3102  0.8462
Cl  0.7178  0.2822  0.5000
Cl  0.7822  0.7822  0.0000
Cl  0.8102  0.8102  0.3462
Cl  0.8102  0.8102  0.6538

[5]
Density functional theory data (PBE) for a relaxed structure of Na2PbCl5.

D(E_F)   4.5 states/eV/f.u.
SG   No. 15
V   29.28 Å³/atom
Raw total energy   -3.2296 eV per atom
Raw formation energy   -29.6 kcal/mol of atoms

a b c (Å): 7.8694 7.8694 10.1214
angles (deg): 109.63 109.63 53.79
Fractional coordinates of all 16 atoms:
Na  0.1052  0.1433  0.2143
Na  0.1433  0.1052  0.7143
Na  0.8567  0.8948  0.2857
Na  0.8948  0.8567  0.7857
Pb  0.5000  0.5000  0.0000
Pb  0.5000  0.5000  0.5000
Cl  0.0893  0.7489  0.5505
Cl  0.1644  0.4598  0.8609
Cl  0.2511  0.9107  0.9495
Cl  0.3296  0.6704  0.2500
Cl  0.4598  0.1644  0.3609
Cl  0.5402  0.8356  0.6391
Cl  0.6704  0.3296  0.7500
Cl  0.7489  0.0893  0.0505
Cl  0.8356  0.5402  0.1391
Cl  0.9107  0.2511  0.4495

[6]
Density functional theory data (PBE) for a relaxed structure of NaPdPbCl6.

D(E_F)   1.1 states/eV/f.u.
SG   No. 102
V   28.41 Å³/atom
Raw total energy   -3.2724 eV per atom
Raw formation energy   -20.9 kcal/mol of atoms

a b c (Å): 6.5070 6.5070 12.0760
angles (deg): 90.00 90.00 90.00
Fractional coordinates of all 18 atoms:
Na  0.0000  0.0000  0.0000
Na  0.5000  0.5000  0.5000
Pd  0.0000  0.0000  0.3330
Pd  0.5000  0.5000  0.8330
Pb  0.0000  0.0000  0.6784
Pb  0.5000  0.5000  0.1784
Cl  0.1769  0.1769  0.1890
Cl  0.1799  0.1799  0.4727
Cl  0.2155  0.2155  0.8374
Cl  0.2845  0.7155  0.3374
Cl  0.3201  0.6799  0.9727
Cl  0.3231  0.6769  0.6890
Cl  0.6769  0.3231  0.6890
Cl  0.6799  0.3201  0.9727
Cl  0.7155  0.2845  0.3374
Cl  0.7845  0.7845  0.8374
Cl  0.8201  0.8201  0.4727
Cl  0.8231  0.8231  0.1890

[7]
Density functional theory data (PBE) for a relaxed structure of Na2PdPbCl8.

SG   No. 164
V   24.84 Å³/atom
Raw total energy   -3.1128 eV per atom
Raw formation energy   -21.2 kcal/mol of atoms

a b c (Å): 6.7578 6.7578 7.5367
angles (deg): 90.00 90.00 120.00
Fractional coordinates of all 12 atoms:
Na  0.3333  0.6667  0.3646
Na  0.6667  0.3333  0.6354
Pd  0.0000  0.0000  0.5000
Pb  0.0000  0.0000  0.0000
Cl  0.1622  0.3244  0.6875
Cl  0.1622  0.8378  0.6875
Cl  0.3244  0.1622  0.3125
Cl  0.3333  0.6667  0.0167
Cl  0.6667  0.3333  0.9833
Cl  0.6756  0.8378  0.6875
Cl  0.8378  0.1622  0.3125
Cl  0.8378  0.6756  0.3125

[8]
Density functional theory data (PBE) for a relaxed structure of Na2PdPbCl6.

SG   No. 1
V   27.20 Å³/atom
Raw total energy   -3.4320 eV per atom
Raw formation energy   -27.0 kcal/mol of atoms

a b c (Å): 4.9143 7.4653 8.5205
angles (deg): 64.39 75.41 87.58
Fractional coordinates of all 10 atoms:
Na  0.0000  0.0000  0.0000
Na  0.3389  0.4742  0.0212
Pd  0.1898  0.9224  0.4691
Pb  0.6715  0.4240  0.4920
Cl  0.1725  0.1443  0.5971
Cl  0.1911  0.7007  0.3450
Cl  0.4658  0.7118  0.6471
Cl  0.5472  0.2066  0.8835
Cl  0.8031  0.6195  0.0823
Cl  0.9364  0.1389  0.2793

[9]
Density functional theory data (PBE) for a relaxed structure of NaPmPb2Cl8.

D(E_F)   0.0 states/eV/f.u.
SG   No. 10
V   32.09 Å³/atom
Raw total energy   -3.9868 eV per atom
Raw formation energy   -37.6 kcal/mol of atoms

a b c (Å): 6.5434 8.6801 6.7807
angles (deg): 90.00 90.37 90.00
Fractional coordinates of all 12 atoms:
Na  0.0000  0.0000  0.0000
Pm  0.0000  0.5000  0.0000
Pb  0.5000  0.2415  0.5000
Pb  0.5000  0.7585  0.5000
Cl  0.2216  0.2626  0.1594
Cl  0.2216  0.7374  0.1594
Cl  0.2512  0.5000  0.6779
Cl  0.2729  0.0000  0.6694
Cl  0.7271  0.0000  0.3306
Cl  0.7488  0.5000  0.3221
Cl  0.7784  0.2626  0.8406
Cl  0.7784  0.7374  0.8406

[10]
Density functional theory data (PBE) for a relaxed structure of Na2PmPbCl8.

D(E_F)   3.7 states/eV/f.u.
SG   No. 10
V   30.23 Å³/atom
Raw total energy   -3.7601 eV per atom
Raw formation energy   -37.0 kcal/mol of atoms

a b c (Å): 6.4805 8.5135 6.5927
angles (deg): 90.00 94.18 90.00
Fractional coordinates of all 12 atoms:
Na  0.0000  0.2436  0.0000
Na  0.0000  0.7564  0.0000
Pm  0.5000  0.0000  0.5000
Pb  0.5000  0.5000  0.5000
Cl  0.2082  0.5000  0.1868
Cl  0.2186  0.0000  0.1828
Cl  0.2957  0.2474  0.6736
Cl  0.2957  0.7526  0.6736
Cl  0.7043  0.2474  0.3264
Cl  0.7043  0.7526  0.3264
Cl  0.7814  0.0000  0.8172
Cl  0.7918  0.5000  0.8132

[11]
Density functional theory data (PBE) for a relaxed structure of NaPrPbCl6.

D(E_F)   0.0 states/eV/f.u.
SG   No. 163
V   31.05 Å³/atom
Raw total energy   -4.1083 eV per atom
Raw formation energy   -41.2 kcal/mol of atoms

a b c (Å): 7.1507 7.1507 12.6220
angles (deg): 90.00 90.00 120.00
Fractional coordinates of all 18 atoms:
Na  0.3333  0.6667  0.2500
Na  0.6667  0.3333  0.7500
Pr  0.3333  0.6667  0.7500
Pr  0.6667  0.3333  0.2500
Pb  0.0000  0.0000  0.0000
Pb  0.0000  0.0000  0.5000
Cl  0.0066  0.3461  0.6283
Cl  0.0066  0.6605  0.8717
Cl  0.3395  0.3461  0.8717
Cl  0.3395  0.9934  0.6283
Cl  0.3461  0.0066  0.1283
Cl  0.3461  0.3395  0.3717
Cl  0.6539  0.6605  0.6283
Cl  0.6539  0.9934  0.8717
Cl  0.6605  0.0066  0.3717
Cl  0.6605  0.6539  0.1283
Cl  0.9934  0.3395  0.1283
Cl  0.9934  0.6539  0.3717

[12]
Density functional theory data (PBE) for a relaxed structure of Na2PtPbCl8.

SG   No. 10
V   29.05 Å³/atom
Raw total energy   -3.3192 eV per atom
Raw formation energy   -24.3 kcal/mol of atoms

a b c (Å): 6.2099 8.3119 7.0013
angles (deg): 90.00 105.29 90.00
Fractional coordinates of all 12 atoms:
Na  0.0000  0.2473  0.0000
Na  0.0000  0.7527  0.0000
Pt  0.0000  0.5000  0.5000
Pb  0.0000  0.0000  0.5000
Cl  0.2118  0.5000  0.2666
Cl  0.2332  0.3010  0.6882
Cl  0.2332  0.6990  0.6882
Cl  0.2470  0.0000  0.2137
Cl  0.7530  0.0000  0.7863
Cl  0.7668  0.3010  0.3118
Cl  0.7668  0.6990  0.3118
Cl  0.7882  0.5000  0.7334

[13]
Density functional theory data (PBE) for a relaxed structure of NaPuPbCl6.

D(E_F)   10.8 states/eV/f.u.
SG   No. 102
V   31.49 Å³/atom
Raw total energy   -5.0136 eV per atom
Raw formation energy   -37.6 kcal/mol of atoms

a b c (Å): 6.6023 6.6023 13.0019
angles (deg): 90.00 90.00 90.00
Fractional coordinates of all 18 atoms:
Na  0.0000  0.0000  0.0000
Na  0.5000  0.5000  0.5000
Pu  0.0000  0.0000  0.6662
Pu  0.5000  0.5000  0.1662
Pb  0.0000  0.0000  0.3323
Pb  0.5000  0.5000  0.8323
Cl  0.1883  0.1883  0.8280
Cl  0.1930  0.1930  0.5080
Cl  0.2071  0.2071  0.1631
Cl  0.2929  0.7071  0.6631
Cl  0.3070  0.6930  0.0080
Cl  0.3117  0.6883  0.3280
Cl  0.6883  0.3117  0.3280
Cl  0.6930  0.3070  0.0080
Cl  0.7071  0.2929  0.6631
Cl  0.7929  0.7929  0.1631
Cl  0.8070  0.8070  0.5080
Cl  0.8117  0.8117  0.8280

[14]
Density functional theory data (PBE) for a relaxed structure of Na2PuPbCl8.

D(E_F)   1.3 states/eV/f.u.
SG   No. 10
V   31.02 Å³/atom
Raw total energy   -4.5264 eV per atom
Raw formation energy   -36.3 kcal/mol of atoms

a b c (Å): 6.5113 8.6123 6.6466
angles (deg): 90.00 92.73 90.00
Fractional coordinates of all 12 atoms:
Na  0.0000  0.2398  0.0000
Na  0.0000  0.7602  0.0000
Pu  0.5000  0.5000  0.5000
Pb  0.5000  0.0000  0.5000
Cl  0.2115  0.0000  0.1769
Cl  0.2315  0.5000  0.1979
Cl  0.2942  0.2783  0.6703
Cl  0.2942  0.7217  0.6703
Cl  0.7058  0.2783  0.3297
Cl  0.7058  0.7217  0.3297
Cl  0.7685  0.5000  0.8021
Cl  0.7885  0.0000  0.8231

[15]
Density functional theory data (PBE) for a relaxed structure of RbNaPbCl4.

D(E_F)   0.0 states/eV/f.u.
SG   No. 11
V   35.52 Å³/atom
Raw total energy   -3.4270 eV per atom
Raw formation energy   -34.9 kcal/mol of atoms

a b c (Å): 7.7488 7.4779 9.2116
angles (deg): 90.00 111.32 90.00
Fractional coordinates of all 14 atoms:
Rb  0.2351  0.2500  0.4645
Rb  0.7649  0.7500  0.5355
Na  0.2337  0.7500  0.1674
Na  0.7663  0.2500  0.8326
Pb  0.3115  0.2500  0.9627
Pb  0.6885  0.7500  0.0373
Cl  0.0133  0.7500  0.3277
Cl  0.0439  0.2500  0.1004
Cl  0.4955  0.0046  0.7897
Cl  0.4955  0.4954  0.7897
Cl  0.5045  0.5046  0.2103
Cl  0.5045  0.9954  0.2103
Cl  0.9561  0.7500  0.8996
Cl  0.9867  0.2500  0.6723

[16]
Density functional theory data (PBE) for a relaxed structure of RbNa2PbCl8.

D(E_F)   1.4 states/eV/f.u.
SG   No. 2
V   30.52 Å³/atom
Raw total energy   -2.9818 eV per atom
Raw formation energy   -26.3 kcal/mol of atoms

a b c (Å): 5.7873 6.7104 9.4373
angles (deg): 90.05 90.21 92.09
Fractional coordinates of all 12 atoms:
Rb  0.0000  0.0000  0.0000
Na  0.4985  0.5000  0.7275
Na  0.5015  0.5000  0.2725
Pb  0.0000  0.0000  0.5000
Cl  0.2363  0.8481  0.2989
Cl  0.2390  0.8508  0.7019
Cl  0.2502  0.3264  0.4991
Cl  0.2535  0.4905  0.0000
Cl  0.7465  0.5095  0.0000
Cl  0.7498  0.6736  0.5009
Cl  0.7610  0.1492  0.2981
Cl  0.7637  0.1519  0.7011

[17]
Density functional theory data (PBE) for a relaxed structure of RbNaPb2Cl6.

D(E_F)   0.0 states/eV/f.u.
SG   No. 146
V   33.01 Å³/atom
Raw total energy   -3.5270 eV per atom
Raw formation energy   -33.4 kcal/mol of atoms

a b c (Å): 7.9423 7.9423 7.9423
angles (deg): 57.04 57.04 57.04
Fractional coordinates of all 10 atoms:
Rb  0.0000  0.0000  0.0000
Na  0.4803  0.4803  0.4803
Pb  0.2784  0.2784  0.2784
Pb  0.7871  0.7871  0.7871
Cl  0.0731  0.6252  0.4382
Cl  0.1837  0.5589  0.8819
Cl  0.4382  0.0731  0.6252
Cl  0.5589  0.8819  0.1837
Cl  0.6252  0.4382  0.0731
Cl  0.8819  0.1837  0.5589

[18]
Density functional theory data (PBE) for a relaxed structure of Na2RePbCl.

D(E_F)   3.4 states/eV/f.u.
SG   No. 123
V   36.56 Å³/atom
Raw total energy   -3.4512 eV per atom
Raw formation energy   15.6 kcal/mol of atoms

a b c (Å): 5.9211 5.9211 5.2138
angles (deg): 90.00 90.00 90.00
Fractional coordinates of all 5 atoms:
Na  0.0000  0.5000  0.0000
Na  0.5000  0.0000  0.0000
Re  0.0000  0.0000  0.0000
Pb  0.0000  0.0000  0.5000
Cl  0.5000  0.5000  0.5000

[19]
Density functional theory data (PBE) for a relaxed structure of NaRhPb2Cl.

D(E_F)   3.1 states/eV/f.u.
SG   No. 123
V   28.40 Å³/atom
Raw total energy   -3.2318 eV per atom
Raw formation energy   8.2 kcal/mol of atoms

a b c (Å): 5.5196 5.5196 4.6611
angles (deg): 90.00 90.00 90.00
Fractional coordinates of all 5 atoms:
Na  0.0000  0.0000  0.0000
Rh  0.5000  0.5000  0.0000
Pb  0.0000  0.5000  0.5000
Pb  0.5000  0.0000  0.5000
Cl  0.0000  0.0000  0.5000

[20]
Density functional theory data (PBE) for a relaxed structure of Na2RuPbCl8.

D(E_F)   6.3 states/eV/f.u.
SG   No. 10
V   27.87 Å³/atom
Raw total energy   -3.5811 eV per atom
Raw formation energy   -24.2 kcal/mol of atoms

a b c (Å): 6.2228 8.2991 6.4778
angles (deg): 90.00 91.69 90.00
Fractional coordinates of all 12 atoms:
Na  0.0000  0.2460  0.0000
Na  0.0000  0.7540  0.0000
Ru  0.5000  0.0000  0.5000
Pb  0.5000  0.5000  0.5000
Cl  0.2215  0.5000  0.1597
Cl  0.2774  0.0000  0.2010
Cl  0.2845  0.2031  0.6442
Cl  0.2845  0.7969  0.6442
Cl  0.7155  0.2031  0.3558
Cl  0.7155  0.7969  0.3558
Cl  0.7226  0.0000  0.7990
Cl  0.7785  0.5000  0.8403